Entry 1:
Below is NbSiSb3 after structural relaxation, with properties calculated at the GGA-PBE level.

## Properties
**Crystal system**: cubic
**Relative energy among the computed polymorphs**: 0.00 eV/f.u.
**Fermi-level density of states**: 0.929 states/eV/atom
**Total DFT energy (no corrections)**: -4.795 eV/atom

Lattice parameters (Å, degrees): 5.3412 5.3412 5.3412 90.00 90.00 90.00
With the nearest neighbours (Å) after each atom.
Fractional positions:
Sb 0.0000 0.5000 0.0000  2 Nb 2.67
Sb 0.0000 0.0000 0.5000  2 Nb 2.67
Sb 0.5000 0.0000 0.0000  2 Nb 2.67
Nb 0.0000 0.0000 0.0000  6 Sb 2.67
Si 0.5000 0.5000 0.5000  12 Sb 3.78

Entry 2:
Below is Nb2Si2Sb after structural relaxation, with properties calculated at the GGA-PBE level.

## Properties
**Crystal system**: tetragonal
**Relative energy among the computed polymorphs**: 0.91 eV/f.u.
**Fermi-level density of states**: 0.415 states/eV/atom
**Total DFT energy (no corrections)**: -7.194 eV/atom

Lattice parameters (Å, degrees): 7.0533 7.0533 3.4446 90.00 90.00 90.00
With the nearest neighbours (Å) after each atom.
Fractional positions:
Sb 0.0000 0.0000 0.0000  4 Si 2.81, 8 Nb 3.13
Sb 0.5000 0.5000 0.0000  4 Si 2.81, 8 Nb 3.13
Nb 0.1726 0.6726 0.5000  6 Si 2.69-2.72
Nb 0.6726 0.8274 0.5000  6 Si 2.69-2.72
Nb 0.8274 0.3274 0.5000  6 Si 2.69-2.72
Nb 0.3274 0.1726 0.5000  6 Si 2.69-2.72
Si 0.3794 0.8794 0.0000  1 Si 2.41, 2 Nb 2.69
Si 0.8794 0.6206 0.0000  1 Si 2.41, 2 Nb 2.69
Si 0.6206 0.1206 0.0000  1 Si 2.41, 2 Nb 2.69
Si 0.1206 0.3794 0.0000  1 Si 2.41, 2 Nb 2.69

Entry 3:
Below is NbSiSb3 after structural relaxation, with properties calculated at the GGA-PBE level.

## Properties
**Crystal system**: cubic
**Relative energy among the computed polymorphs**: 1.54 eV/f.u.
**Fermi-level density of states**: 1.307 states/eV/atom
**Total DFT energy (no corrections)**: -4.488 eV/atom

Lattice parameters (Å, degrees): 5.0831 5.0831 5.0831 90.00 90.00 90.00
With the nearest neighbours (Å) after each atom.
Fractional positions:
Sb 0.0000 0.5000 0.0000  2 Si 2.54
Sb 0.0000 0.0000 0.5000  2 Si 2.54
Sb 0.5000 0.0000 0.0000  2 Si 2.54
Nb 0.5000 0.5000 0.5000  12 Sb 3.59
Si 0.0000 0.0000 0.0000  6 Sb 2.54

Entry 4:
Below is Nb2Si2Sb after structural relaxation, with properties calculated at the GGA-PBE level.

## Properties
**Crystal system**: tetragonal
**Relative energy among the computed polymorphs**: 0.89 eV/f.u.
**Fermi-level density of states**: 0.559 states/eV/atom
**Total DFT energy (no corrections)**: -7.199 eV/atom

Lattice parameters (Å, degrees): 7.2820 7.2820 3.4110 90.00 90.00 90.00
With the nearest neighbours (Å) after each atom.
Fractional positions:
Sb 0.0000 0.0000 0.0000  4 Nb 2.75
Sb 0.5000 0.5000 0.0000  4 Nb 2.75
Nb 0.3428 0.8428 0.0000  6 Si 2.70-2.79, 2 Sb 2.75
Nb 0.8428 0.6572 0.0000  6 Si 2.70-2.79, 2 Sb 2.75
Nb 0.6572 0.1572 0.0000  6 Si 2.70-2.79, 2 Sb 2.75
Nb 0.1572 0.3428 0.0000  6 Si 2.70-2.79, 2 Sb 2.75
Si 0.1280 0.6280 0.5000  1 Si 2.64, 6 Nb 2.70-2.79
Si 0.6280 0.8720 0.5000  1 Si 2.64, 6 Nb 2.70-2.79
Si 0.8720 0.3720 0.5000  1 Si 2.64, 6 Nb 2.70-2.79
Si 0.3720 0.1280 0.5000  1 Si 2.64, 6 Nb 2.70-2.79

Entry 5:
Below is Nb2Si2Sb after structural relaxation, with properties calculated at the GGA-PBE level.

## Properties
**Crystal system**: tetragonal
**Relative energy among the computed polymorphs**: 0.00 eV/f.u.
**Fermi-level density of states**: 0.511 states/eV/atom
**Total DFT energy (no corrections)**: -7.376 eV/atom

Lattice parameters (Å, degrees): 3.5332 3.5332 7.5289 76.43 76.43 90.00
With the nearest neighbours (Å) after each atom.
Fractional positions:
Sb 0.0000 0.0000 0.0000  8 Nb 2.94
Nb 0.3904 0.3904 0.2192  4 Si 2.66, 4 Sb 2.94
Nb 0.6096 0.6096 0.7808  4 Si 2.66, 4 Sb 2.94
Si 0.7500 0.2500 0.5000  4 Si 2.50, 4 Nb 2.66
Si 0.2500 0.7500 0.5000  4 Si 2.50, 4 Nb 2.66

Entry 6:
Below is Ta2NbSiSb after structural relaxation, with properties calculated at the GGA-PBE level.

## Properties
**Crystal system**: tetragonal
**Fermi-level density of states**: 0.924 states/eV/atom
**Total DFT energy (no corrections)**: -7.400 eV/atom

Lattice parameters (Å, degrees): 4.9650 4.7467 4.9650 90.00 90.00 90.00
With the nearest neighbours (Å) after each atom.
Fractional positions:
Sb 0.5000 0.5000 0.5000  8 Ta 3.43, 4 Si 3.51
Nb 0.0000 0.0000 0.0000  2 Si 2.37, 4 Ta 2.48
Si 0.0000 0.5000 0.0000  2 Nb 2.37
Ta 0.0000 0.0000 0.5000  2 Nb 2.48
Ta 0.5000 0.0000 0.0000  2 Nb 2.48

Entry 7:
Below is NbSiSb2Te after structural relaxation, with properties calculated at the GGA-PBE level.

## Properties
**Crystal system**: tetragonal
**Relative energy among the computed polymorphs**: 1.02 eV/f.u.
**Fermi-level density of states**: 1.258 states/eV/atom
**Total DFT energy (no corrections)**: -4.426 eV/atom

Lattice parameters (Å, degrees): 5.1097 5.1097 5.1763 90.00 90.00 90.00
With the nearest neighbours (Å) after each atom.
Fractional positions:
Sb 0.0000 0.5000 0.0000  2 Si 2.55
Sb 0.5000 0.0000 0.0000  2 Si 2.55
Nb 0.5000 0.5000 0.5000  4 Te 3.61, 8 Sb 3.64
Te 0.0000 0.0000 0.5000  2 Si 2.59
Si 0.0000 0.0000 0.0000  4 Sb 2.55, 2 Te 2.59

Entry 8:
Below is NbSiSb2Te after structural relaxation, with properties calculated at the GGA-PBE level.

## Properties
**Crystal system**: tetragonal
**Relative energy among the computed polymorphs**: 0.00 eV/f.u.
**Fermi-level density of states**: 1.113 states/eV/atom
**Total DFT energy (no corrections)**: -4.630 eV/atom

Lattice parameters (Å, degrees): 5.3950 5.3950 5.3056 90.00 90.00 90.00
With the nearest neighbours (Å) after each atom.
Fractional positions:
Sb 0.0000 0.5000 0.0000  2 Nb 2.70
Sb 0.5000 0.0000 0.0000  2 Nb 2.70
Nb 0.0000 0.0000 0.0000  2 Te 2.65, 4 Sb 2.70
Te 0.0000 0.0000 0.5000  2 Nb 2.65
Si 0.5000 0.5000 0.5000  8 Sb 3.78, 4 Te 3.81

Entry 9:
Below is NbSi2SbW after structural relaxation, with properties calculated at the GGA-PBE level.

## Properties
**Crystal system**: tetragonal
**Fermi-level density of states**: 0.865 states/eV/atom
**Total DFT energy (no corrections)**: -6.341 eV/atom

Lattice parameters (Å, degrees): 4.8294 4.9420 4.8294 90.00 90.00 90.00
With the nearest neighbours (Å) after each atom.
Fractional positions:
Sb 0.5000 0.5000 0.5000  4 W 3.41, 8 Si 3.45
Nb 0.0000 0.0000 0.0000  4 Si 2.41, 2 W 2.47
Si 0.0000 0.0000 0.5000  2 Nb 2.41
Si 0.5000 0.0000 0.0000  2 Nb 2.41
W 0.0000 0.5000 0.0000  2 Nb 2.47

Entry 10:
Below is SmNbSb2 after structural relaxation, with properties calculated at the GGA-PBE level.

## Properties
**Crystal system**: trigonal
**Fermi-level density of states**: 0.446 states/eV/atom
**Total DFT energy (no corrections)**: -6.220 eV/atom

Lattice parameters (Å, degrees): 4.1841 4.1841 7.3656 73.50 73.50 60.00
With the nearest neighbours (Å) after each atom.
Fractional positions:
Sb 0.2600 0.2600 0.2199  3 Nb 2.86, 3 Sm 3.10
Sb 0.7400 0.7400 0.7801  3 Nb 2.86, 3 Sm 3.10
Nb 0.0000 0.0000 0.0000  6 Sb 2.86
Sm 0.5000 0.5000 0.5000  6 Sb 3.10

Entry 11:
Below is SmNbSb after structural relaxation, with properties calculated at the GGA-PBE level.

## Properties
**Crystal system**: monoclinic
**Fermi-level density of states**: 0.985 states/eV/atom
**Total DFT energy (no corrections)**: -6.496 eV/atom

Lattice parameters (Å, degrees): 4.6054 4.5961 10.3721 116.17 90.00 120.07
With the nearest neighbours (Å) after each atom.
Fractional positions:
Sm 0.0653 0.1306 0.8476  3 Sb 3.07, 1 Nb 3.35
Sm 0.9347 0.8694 0.1524  3 Sb 3.07, 1 Nb 3.35
Nb 0.1851 0.3703 0.5279  3 Nb 2.70, 3 Sb 2.96-2.97
Nb 0.8149 0.6297 0.4721  3 Nb 2.70, 3 Sb 2.96-2.97
Sb 0.3827 0.7655 0.3246  6 Nb 2.96-3.22, 3 Sm 3.07, 1 Sb 3.13
Sb 0.6173 0.2345 0.6754  6 Nb 2.96-3.22, 3 Sm 3.07, 1 Sb 3.13

Entry 12:
Below is NbSnSb after structural relaxation, with properties calculated at the GGA-PBE level.

## Properties
**Crystal system**: orthorhombic
**Fermi-level density of states**: 0.388 states/eV/atom
**Total DFT energy (no corrections)**: -6.267 eV/atom

Lattice parameters (Å, degrees): 6.8518 5.6989 5.5539 75.01 53.46 51.53
With the nearest neighbours (Å) after each atom.
Fractional positions:
Nb 0.7500 0.7500 0.7500  2 Nb 2.86, 4 Sb 2.95, 4 Sn 2.99
Nb 0.2500 0.2500 0.2500  2 Nb 2.86, 4 Sb 2.95, 4 Sn 2.99
Sn 0.3463 0.6537 0.3463  1 Sn 2.93, 4 Nb 2.99
Sn 0.6537 0.3463 0.6537  1 Sn 2.93, 4 Nb 2.99
Sb 0.1503 0.1503 0.8497  4 Nb 2.95, 1 Sb 2.96
Sb 0.8497 0.8497 0.1503  4 Nb 2.95, 1 Sb 2.96

Number 1: theoretical density 5.3 g cm⁻³. Number 2: theoretical density 7.0 g cm⁻³. Number 3: theoretical density 6.1 g cm⁻³. Number 4: theoretical density 6.7 g cm⁻³. Number 5: theoretical density 6.8 g cm⁻³. Number 6: theoretical density 8.6 g cm⁻³. Number 7: theoretical density 6.0 g cm⁻³. Number 8: theoretical density 5.3 g cm⁻³. Number 9: theoretical density 6.6 g cm⁻³. Number 10: theoretical density 7.7 g cm⁻³. Number 11: theoretical density 7.4 g cm⁻³. Number 12: theoretical density 8.2 g cm⁻³.